Entry 1:
Here is a relaxed Sc2Mn2Os crystal from the Alexandria database. Energies are from PBEsol.

The formation energy is 0.86 eV/atom.

The structure belongs to space group I4/mmm (No. 139); the cell edges are 3.747, 3.747 and 11.181 Å and the angles 90.00°, 90.00° and 90.00°. Symmetry generates all atoms from Sc at (0.000, 0.500, 0.250), Mn at (0.000, 0.000, 0.087) and Os at (0.000, 0.000, 0.500).

Entry 2:
Here is a relaxed CdSiBr2 crystal from the Alexandria database. Energies are from PBEsol.

The value obtained for the energy relative to the elements, uncorrected is -2 kJ per mole of atoms.

The structure belongs to space group C2/m (No. 12); the cell edges are 6.531, 3.771 and 9.506 Å and the angles 90.00°, 103.58° and 90.00°. Symmetry generates all atoms from Cd at (0.000, 0.000, 0.000), Si at (0.000, 0.500, 0.500) and Br at (0.228, 0.000, 0.678).

Entry 3:
Here is a relaxed Sc2ReRu crystal from the Alexandria database. Energies are from PBEsol.

The formation energy is -0.15 eV/atom.

The structure belongs to space group P4/mmm (No. 123); the cell edges are 3.168, 3.168 and 6.467 Å and the angles 90.00°, 90.00° and 90.00°. Symmetry generates all atoms from Sc at (0.000, 0.000, 0.243), Re at (0.500, 0.500, 0.500) and Ru at (0.500, 0.500, 0.000).

Repeat the third record exactly.
Here is a relaxed Sc2ReRu crystal from the Alexandria database. Energies are from PBEsol.

The formation energy is -0.15 eV/atom.

The structure belongs to space group P4/mmm (No. 123); the cell edges are 3.168, 3.168 and 6.467 Å and the angles 90.00°, 90.00° and 90.00°. Symmetry generates all atoms from Sc at (0.000, 0.000, 0.243), Re at (0.500, 0.500, 0.500) and Ru at (0.500, 0.500, 0.000).